No. 1
Compound: CeAlNi4
Source: Alexandria via LeMat-Bulk
Functional: GGA-PBEsol
Structure: optimized geometry

Energy of formation ... -0.485 eV/atom
Theoretical density ... 8.1 g/cm3
Total energy ... -6.371 eV per atom
Magnetic moment ... 0.0001 μB/atom

```
data_CeAlNi4
_chemical_formula_sum 'Ce2 Al2 Ni8'
_cell_length_a 4.9696
_cell_length_b 8.2348
_cell_length_c 4.0297
_cell_angle_alpha 90.00
_cell_angle_beta 90.00
_cell_angle_gamma 90.00
_symmetry_space_group_name_H-M 'C m m m'
_symmetry_Int_Tables_number 65
_symmetry_space_group_name_Hall '-C 2 2'
loop_
_atom_site_label
_atom_site_fract_x
_atom_site_fract_y
_atom_site_fract_z
Ce1 0.0000 0.0000 0.0000
Al1 0.0000 0.5000 0.5000
Ni1 0.0000 0.3276 0.0000
Ni2 0.2500 0.2500 0.5000
```



No. 2
Compound: CaNiGe
Source: Alexandria via LeMat-Bulk
Functional: GGA-PBEsol
Structure: optimized geometry

Energy of formation ... -0.581 eV/atom
Theoretical density ... 5.1 g/cm3
Total energy ... -4.990 eV per atom
Magnetic moment ... 0.0000 μB/atom

```
data_CaNiGe
_chemical_formula_sum 'Ca2 Ni2 Ge2'
_cell_length_a 4.1227
_cell_length_b 4.1227
_cell_length_c 6.5696
_cell_angle_alpha 90.00
_cell_angle_beta 90.00
_cell_angle_gamma 90.00
_symmetry_space_group_name_H-M 'P 4/n m m'
_symmetry_Int_Tables_number 129
loop_
_symmetry_equiv_pos_as_xyz
'x,y,z'
'-x,-y,-z'
'-y+1/2,x,z'
'y+1/2,-x,-z'
'-x+1/2,-y+1/2,z'
'x+1/2,y+1/2,-z'
'y,-x+1/2,z'
'-y,x+1/2,-z'
'x+1/2,-y,-z'
'-x+1/2,y,z'
'-y,-x,-z'
'y,x,z'
'-x,y+1/2,-z'
'x,-y+1/2,z'
'y+1/2,x+1/2,-z'
'-y+1/2,-x+1/2,z'
loop_
_atom_site_label
_atom_site_fract_x
_atom_site_fract_y
_atom_site_fract_z
Ca1 0.2500 0.2500 0.1774
Ni1 0.2500 0.7500 0.5000
Ge1 0.2500 0.2500 0.6853
```



No. 3
Compound: Sc3FeNi
Source: Alexandria via LeMat-Bulk
Functional: GGA-PBEsol
Structure: optimized geometry

Energy of formation ... 0.374 eV/atom
Theoretical density ... 3.9 g/cm3
Total energy ... -6.613 eV per atom
Magnetic moment ... 0.3294 μB/atom

```
data_Sc3FeNi
_chemical_formula_sum 'Sc3 Fe1 Ni1'
_cell_length_a 4.7247
_cell_length_b 4.7247
_cell_length_c 4.7247
_cell_angle_alpha 90.00
_cell_angle_beta 90.00
_cell_angle_gamma 90.00
_symmetry_space_group_name_H-M 'P m -3 m'
_symmetry_Int_Tables_number 221
_symmetry_space_group_name_Hall '-P 4 2 3'
loop_
_atom_site_label
_atom_site_fract_x
_atom_site_fract_y
_atom_site_fract_z
Sc1 0.0000 0.0000 0.5000
Fe1 0.5000 0.5000 0.5000
Ni1 0.0000 0.0000 0.0000
```